Compound: Tb7Tm3Sc
Source: the Alexandria database
Functional: PBE
Structure: relaxed

Results
DOS(E_F) = 29.2 states/eV per cell
V = 700.2 Å³/cell
calculated total energy = -4.49 eV/atom
excess energy over the best structure of this formula in the dataset = 11.0 kJ per mole of atoms
ΔE_f = 0.2559 eV/atom

Unit cell a=12.432 b=11.141 c=5.684 alpha=90.00 beta=117.19 gamma=90.00
Space group C2/m (No. 12)
Unique sites:
Tb  0.000  0.000  0.000 x2
Tb  0.191  0.290  0.691 x8
Tb  0.213  0.500  0.212 x4
Tm  0.000  0.296  0.000 x4
Tm  0.000  0.500  0.500 x2
Sc  0.000  0.000  0.500 x2

Compound: Tb8Tm2Sc
Source: the Alexandria database
Functional: PBE
Structure: relaxed

Results
DOS(E_F) = 35.8 states/eV per cell
V = 715.1 Å³/cell
calculated total energy = -4.57 eV/atom
excess energy over the best structure of this formula in the dataset = 6.8 kJ per mole of atoms
ΔE_f = 0.1864 eV/atom

Unit cell a=18.646 b=6.862 c=5.595 alpha=90.00 beta=92.56 gamma=90.00
Space group C2/m (No. 12)
Unique sites:
Tb  0.046  0.000  0.234 x4
Tb  0.130  0.235  0.738 x8
Tb  0.185  0.500  0.231 x4
Tm  0.217  0.000  0.256 x4
Sc  0.000  0.500  0.000 x2

Compound: Tb5Tm2Sc3
Source: the Alexandria database
Functional: PBE
Structure: relaxed

Results
DOS(E_F) = 66.6 states/eV per cell
V = 1215.5 Å³/cell
calculated total energy = -4.92 eV/atom
ΔE_f = 0.1927 eV/atom

Unit cell a=10.506 b=15.444 c=9.136 alpha=90.00 beta=124.92 gamma=90.00
Space group C2/c (No. 15)
Unique sites:
Tb  0.000  0.018  0.250 x4
Tb  0.000  0.216  0.250 x4
Tb  0.000  0.482  0.750 x4
Tb  0.247  0.145  0.742 x8
Tm  0.153  0.137  0.048 x8
Sc  0.000  0.285  0.750 x4
Sc  0.144  0.365  0.547 x8

Compound: Tb12Tm7Sc
Source: the Alexandria database
Functional: PBE
Structure: relaxed

Results
DOS(E_F) = 85.1 states/eV per cell
V = 1941.2 Å³/cell
calculated total energy = -4.42 eV/atom
excess energy over the best structure of this formula in the dataset = 11.9 kJ per mole of atoms
ΔE_f = 0.2388 eV/atom

Unit cell a=19.2442 b=19.2442 c=6.0527 alpha=90.00 beta=90.00 gamma=120.00
Space group R-3 (No. 148, hexagonal axes)
Unique sites:
Tb  0.9997  0.4144  0.9999 x18
Tb  0.0986  0.5489  0.4697 x18
Tm  0.0000  0.0000  0.0000 x3
Tm  0.0800  0.1607  0.3026 x18
Sc  0.0000  0.0000  0.5000 x3

Compound: Tb6TmSc
Source: the Alexandria database
Functional: PBE
Structure: relaxed

Results
DOS(E_F) = 11.8 states/eV per cell
V = 245.5 Å³/cell
calculated total energy = -4.79 eV/atom
excess energy over the best structure of this formula in the dataset = 0.0 kJ per mole of atoms
ΔE_f = 0.0305 eV/atom

Unit cell a=4.974 b=4.974 c=9.921 alpha=90.00 beta=90.00 gamma=90.00
Space group P4/mmm (No. 123)
Unique sites:
Tb  0.000  0.000  0.000 x1
Tb  0.000  0.000  0.500 x1
Tb  0.000  0.500  0.246 x4
Tm  0.500  0.500  0.500 x1
Sc  0.500  0.500  0.000 x1

Compound: Tb4Tm5Sc
Source: the Alexandria database
Functional: PBE
Structure: relaxed

Results
DOS(E_F) = 26.4 states/eV per cell
V = 630.7 Å³/cell
calculated total energy = -4.49 eV/atom
excess energy over the best structure of this formula in the dataset = 19.6 kJ per mole of atoms
ΔE_f = 0.2342 eV/atom

Unit cell a=10.532 b=10.532 c=5.685 alpha=90.00 beta=90.00 gamma=90.00
Space group I4mm (No. 107)
Unique sites:
Tb  0.000  0.322  0.000 x8
Tm  0.000  0.000  0.229 x2
Tm  0.187  0.187  0.509 x8
Sc  0.000  0.000  0.757 x2

> Which value of ΔE_f does entry 4 give?

0.2388 eV/atom

> Among the records above, which one has the lowest ΔE_f?

Tb6TmSc

> Which formula does entry 2 have?

Tb8Tm2Sc

Repeat the third record exactly.
Compound: Tb5Tm2Sc3
Source: the Alexandria database
Functional: PBE
Structure: relaxed

Results
DOS(E_F) = 66.6 states/eV per cell
V = 1215.5 Å³/cell
calculated total energy = -4.92 eV/atom
ΔE_f = 0.1927 eV/atom

Unit cell a=10.506 b=15.444 c=9.136 alpha=90.00 beta=124.92 gamma=90.00
Space group C2/c (No. 15)
Unique sites:
Tb  0.000  0.018  0.250 x4
Tb  0.000  0.216  0.250 x4
Tb  0.000  0.482  0.750 x4
Tb  0.247  0.145  0.742 x8
Tm  0.153  0.137  0.048 x8
Sc  0.000  0.285  0.750 x4
Sc  0.144  0.365  0.547 x8